Here is an optimized crystal structure of Pr3SmH from the Alexandria database. Energies are from PBE.

Calculated values
DFT total energy, eV for the cell shown: -23.26
Mass density, kg/m3: 6744
Total moment, μB per atom: 0.000

abc: 5.2093 5.2093 5.2093
angles: 90.00 90.00 90.00
Space group Pm-3m (No. 221)
One atom of each set of equivalent atoms:
Pr 0.0000 0.0000 0.5000 [3 per cell]
Sm 0.5000 0.5000 0.5000 [1 per cell]
H 0.0000 0.0000 0.0000 [1 per cell]



Here is an optimized crystal structure of BiSbCl2 from the Alexandria database. Energies are from PBE.

Calculated values
Offset from the most stable computed form, meV per atom: 0
Formation energy without anion corrections, eV/atom: -0.488
DFT total energy, eV for the cell shown: -54.60
Mass density, kg/m3: 4977
Total moment, μB per atom: 0.000

abc: 7.8066 4.6492 14.7688
angles: 90.00 90.00 90.00
Space group Pnna (No. 52)
One atom of each set of equivalent atoms:
Bi 0.2500 0.0000 0.0667 [4 per cell]
Sb 0.1237 0.2500 0.2500 [4 per cell]
Cl 0.0659 0.2457 0.5858 [8 per cell]



Here is an optimized crystal structure of Ca2YGa4 from the Alexandria database. Energies are from PBE.

Calculated values
DFT total energy, eV for the cell shown: -52.81
Mass density, kg/m3: 4484
Total moment, μB per atom: 0.000

abc: 4.0298 4.3108 19.1009
angles: 90.00 90.00 90.00
Space group Immm (No. 71)
One atom of each set of equivalent atoms:
Ca 0.0000 0.0000 0.1877 [4 per cell]
Y 0.0000 0.5000 0.0000 [2 per cell]
Ga 0.0000 0.0000 0.3617 [4 per cell]
Ga 0.0000 0.5000 0.4352 [4 per cell]



Q: Which of these has the highest mass density?
A: Pr3SmH



Q: The highest mass density belongs to which entry?
A: Pr3SmH